{"formula": "UMo2W", "functional": "PBE", "state": "relaxed", "space_group": "No. 225", "de_polymorph_mev_per_atom": 24, "crystal_system": "cubic", "formation_energy_ev_per_atom": 0.2150, "dos_ef_per_ev_cell": 6.37, "e_tot_ev_per_atom": -11.261, "cell": [[0.0000, 3.2694, 3.2694], [3.2694, 0.0000, 3.2694], [3.2694, 3.2694, 0.0000]], "species": ["U", "Mo", "Mo", "W"], "fractional_positions": [[0.0000, 0.0000, 0.0000], [0.2500, 0.2500, 0.2500], [0.7500, 0.7500, 0.7500], [0.5000, 0.5000, 0.5000]]}


{"formula": "Be2CoCu", "functional": "PBE", "state": "relaxed", "space_group": "No. 216", "crystal_system": "cubic", "formation_energy_ev_per_atom": -0.0020, "dos_ef_per_ev_cell": 2.61, "e_tot_ev_per_atom": -4.666, "cell": [[0.0000, 2.6829, 2.6829], [2.6829, 0.0000, 2.6829], [2.6829, 2.6829, 0.0000]], "species": ["Be", "Be", "Co", "Cu"], "fractional_positions": [[0.0000, 0.0000, 0.0000], [0.2500, 0.2500, 0.2500], [0.5000, 0.5000, 0.5000], [0.7500, 0.7500, 0.7500]]}


{"formula": "TbPt2", "functional": "PBE", "state": "relaxed", "space_group": "No. 139", "crystal_system": "tetragonal", "formation_energy_ev_per_atom": -0.8730, "dos_ef_per_ev_cell": 2.38, "e_tot_ev_per_atom": -6.444, "cell": [[-1.8009, 1.8009, 4.5317], [1.8009, -1.8009, 4.5317], [1.8009, 1.8009, -4.5317]], "species": ["Tb", "Pt", "Pt"], "fractional_positions": [[0.0000, 0.0000, 0.0000], [0.3332, 0.3332, 0.0000], [0.6668, 0.6668, 0.0000]]}